No. 1
DFT (PBE) results for a relaxed structure of Li8Nb2O9. Values from VASP.

Geometry as Quantum ESPRESSO input:
```
&SYSTEM
  ibrav = 0, nat = 76, ntyp = 3
/
ATOMIC_SPECIES
Li 6.94 Li.upf
Nb 92.91 Nb.upf
O 16.00 O.upf
CELL_PARAMETERS angstrom
5.937 0.000 0.000
2.946 8.400 0.000
2.892 -0.215 15.108
ATOMIC_POSITIONS angstrom
Li 0.609 1.046 0.645
Li 3.554 5.128 6.978
Li 5.263 7.208 11.134
Li 2.182 3.396 2.175
Li 3.534 5.192 3.603
Li 5.158 7.193 8.122
Li 5.095 2.922 14.511
Li 5.130 7.558 5.219
Li 3.690 5.263 0.754
Li 5.031 2.990 11.514
Li 3.621 0.990 6.735
Li 5.119 7.023 2.422
Li 5.095 3.067 7.912
Li 8.017 7.159 14.774
Li 3.794 0.991 3.940
Li 6.632 5.388 9.808
Li 5.143 2.797 5.300
Li 7.981 7.193 11.168
Li 3.758 1.025 0.334
Li 6.680 5.117 7.196
Li 6.656 1.162 12.686
Li 8.154 7.194 8.373
Li 6.744 5.194 3.594
Li 8.085 2.921 14.355
Li 6.645 0.626 9.889
Li 6.680 5.262 0.597
Li 6.616 0.992 6.987
Li 8.241 2.992 11.506
Li 9.593 4.789 12.934
Li 6.512 0.977 3.975
Li 8.221 3.057 8.130
Li 11.166 7.139 14.464
Nb 2.147 3.064 5.286
Nb 3.688 0.863 12.937
Nb 3.662 0.927 9.647
Nb 6.643 5.055 12.927
Nb 5.132 3.130 2.182
Nb 8.113 7.257 5.462
Nb 8.087 7.322 2.171
Nb 9.628 5.121 9.822
O 3.664 2.800 12.949
O 2.227 1.030 8.374
O 3.557 7.285 3.817
O 5.184 5.125 14.208
O 3.626 3.019 9.933
O 2.187 1.130 5.191
O 3.668 7.449 0.961
O 5.149 5.074 11.322
O 3.616 3.140 6.588
O 6.580 7.148 12.732
O 5.076 5.036 8.450
O 3.647 3.077 3.731
O 5.081 0.742 14.258
O 6.631 7.387 9.705
O 3.737 3.041 0.848
O 5.061 0.885 11.341
O 6.615 7.098 6.655
O 5.131 5.055 2.355
O 6.644 3.129 12.753
O 5.160 1.087 8.453
O 6.714 7.300 3.767
O 8.038 5.144 14.261
O 5.144 0.798 5.403
O 6.694 7.442 0.850
O 8.128 5.107 11.377
O 6.699 3.149 6.659
O 5.195 1.036 2.376
O 8.159 5.044 8.520
O 6.626 3.110 3.786
O 8.107 0.735 14.147
O 9.588 7.054 9.917
O 8.149 5.165 5.175
O 6.590 3.059 0.900
O 8.218 0.899 11.291
O 9.548 7.155 6.734
O 8.111 5.384 2.159
```

Results
- uncorrected formation energy (meV/atom) = -2298
- size of the total moment (μB/cell) = 0.00



No. 2
DFT (PBE) results for a relaxed structure of ZnCl3F. Values from VASP.

Geometry as Quantum ESPRESSO input:
```
&SYSTEM
  ibrav = 0, nat = 5, ntyp = 3
/
ATOMIC_SPECIES
Zn 65.41 Zn.upf
Cl 35.45 Cl.upf
F 19.00 F.upf
CELL_PARAMETERS angstrom
4.820 0.000 0.000
0.000 4.820 0.000
0.000 0.000 4.820
ATOMIC_POSITIONS angstrom
Zn 0.000 0.000 0.000
Cl 0.000 0.000 2.410
Cl 0.000 2.410 0.000
Cl 2.410 0.000 0.000
F 2.410 2.410 2.410
```

Results
- distance to the lowest polymorph of the same formula (meV/atom) = 0.0
- uncorrected formation energy (meV/atom) = -178
- size of the total moment (μB/cell) = 0.88



| no. | final energy (eV per cell) |
| --- | --- |
| 1 | -494.94 |
| 2 | -9.58 |